1.
{"formula": "Tl12InPb7", "functional": "PBE", "state": "optimized geometry", "lattice": [[6.769, 3.908, 3.974], [-6.769, 3.908, 3.974], [0.000, -7.817, 3.974]], "species": ["Tl", "Tl", "Tl", "Tl", "Tl", "Tl", "Tl", "Tl", "Tl", "Tl", "Tl", "Tl", "In", "Pb", "Pb", "Pb", "Pb", "Pb", "Pb", "Pb"], "fractional_positions": [[0.000, 0.259, 0.741], [0.000, 0.741, 0.259], [0.167, 0.167, 0.422], [0.167, 0.422, 0.167], [0.259, 0.000, 0.741], [0.259, 0.741, 0.000], [0.422, 0.167, 0.167], [0.578, 0.833, 0.833], [0.741, 0.000, 0.259], [0.741, 0.259, 0.000], [0.833, 0.578, 0.833], [0.833, 0.833, 0.578], [0.500, 0.500, 0.500], [0.000, 0.000, 0.000], [0.181, 0.596, 0.596], [0.404, 0.404, 0.819], [0.404, 0.819, 0.404], [0.596, 0.181, 0.596], [0.596, 0.596, 0.181], [0.819, 0.404, 0.404]], "dos_at_fermi_per_ev_fu": 10.395}



2.
{"formula": "FeOsC", "functional": "PBE", "state": "optimized geometry", "lattice": [[4.882, -1.383, 0.000], [4.882, 1.383, 0.000], [-0.604, 0.000, 4.620]], "species": ["Fe", "Fe", "Os", "Os", "C", "C"], "fractional_positions": [[0.000, 0.000, 0.000], [0.234, 0.234, 0.421], [0.507, 0.507, 0.503], [0.725, 0.725, 0.922], [0.364, 0.364, 0.126], [0.864, 0.864, 0.626]], "e_above_lowest_polymorph_kj_per_mol_atoms": 0.80, "dos_at_fermi_per_ev_fu": 1.876}



How do the records compare in formation energy? In the order shown, they have 0.020 0.330 eV/atom.
How do the records compare in total magnetization? In the order shown, they have 0.00 0.50 μB/atom.